No. 1
DFT (PBE) results for an optimized crystal structure of LaZr2In.

a = 6.5716 Å, b = 10.6488 Å, c = 3.2392 Å
α = 90.00°, β = 115.49°, γ = 90.00°
Closest atoms and distances in Å follow each position.
Space group C2/m (No. 12)
Inequivalent atoms, fractional coordinates:
La: 0.0000 0.0000 0.0000 x2  4 Zr 3.18, 2 La 3.24, 4 In 3.29-3.48
Zr: 0.2500 0.2500 0.5000 x4  2 In 3.18, 2 La 3.18, 6 Zr 3.24-3.48
In: 0.0000 0.5000 0.0000 x2  4 Zr 3.18, 2 In 3.24, 4 La 3.29-3.48

Results
- E (eV/atom) = -6.16

---

No. 2
DFT (PBE) results for an optimized crystal structure of La3MgRh8.

a = 5.3845 Å, b = 5.3845 Å, c = 26.5647 Å
α = 90.00°, β = 90.00°, γ = 120.00°
Closest atoms and distances in Å follow each position.
Space group R3m (No. 160, hexagonal axes)
Inequivalent atoms, fractional coordinates:
La: 0.0000 0.0000 0.0000 x3  12 Rh 3.16-3.23, 4 La 3.34-3.38
La: 0.0000 0.0000 0.1274 x3  12 Rh 3.07-3.18, 3 Mg 3.26, 1 La 3.38
La: 0.0000 0.0000 0.6209 x3  12 Rh 3.14-3.29, 1 Mg 3.27, 3 La 3.34
Mg: 0.0000 0.0000 0.4978 x3  12 Rh 3.10-3.16, 4 La 3.26-3.27
Rh: 0.0000 0.0000 0.3119 x3  6 Rh 2.74
Rh: 0.0000 0.0000 0.8121 x3  6 Rh 2.66-2.68
Rh: 0.0003 0.5001 0.5602 x9  6 Rh 2.66-2.74
Rh: 0.0011 0.5006 0.0635 x9  6 Rh 2.68-2.74

Results
- E (eV/atom) = -6.85

---

No. 3
DFT (PBE) results for an optimized crystal structure of CoGeAsPt.

a = 2.8142 Å, b = 3.7238 Å, c = 12.1157 Å
α = 90.00°, β = 90.00°, γ = 90.00°
Closest atoms and distances in Å follow each position.
Space group Amm2 (No. 38)
Inequivalent atoms, fractional coordinates:
Co: 0.0000 0.0000 0.0000 x2  2 As 2.36, 4 Ge 2.45
Ge: 0.5000 0.0000 0.5609 x2  4 Co 2.45, 2 Pt 2.56
As: 0.5000 0.0000 0.8439 x2  2 Co 2.36, 2 Pt 2.50
Pt: 0.5000 0.0000 0.2058 x2  2 As 2.50, 2 Ge 2.56

Results
- E (eV/atom) = -5.87
- energy above the lowest structure with this stoichiometry (meV/atom) = 52.1

---

No. 4
DFT (PBE) results for an optimized crystal structure of LaPr2V.

a = 3.4882 Å, b = 3.4882 Å, c = 34.7550 Å
α = 90.00°, β = 90.00°, γ = 120.00°
Closest atoms and distances in Å follow each position.
Space group R-3m (No. 166, hexagonal axes)
Inequivalent atoms, fractional coordinates:
La: 0.0000 0.0000 0.0000 x3  6 La 3.49, 6 Pr 3.62
Pr: 0.0000 0.0000 0.4198 x6  1 V 2.79
V: 0.0000 0.0000 0.5000 x3  2 Pr 2.79

Results
- E (eV/atom) = -5.25

---

No. 5
DFT (PBE) results for an optimized crystal structure of PmEr8Pb6.

a = 9.0933 Å, b = 9.0933 Å, c = 19.6923 Å
α = 90.00°, β = 90.00°, γ = 120.00°
Closest atoms and distances in Å follow each position.
Space group R-3 (No. 148, hexagonal axes)
Inequivalent atoms, fractional coordinates:
Pm: 0.0000 0.0000 0.0000 x3  6 Pb 3.37, 6 Er 3.65
Er: 0.0000 0.0000 0.3331 x6  6 Pb 3.30-3.31, 6 Er 3.68-3.69
Er: 0.0006 0.6702 0.1053 x18  5 Pb 3.10-3.44
Pb: 0.9998 0.3383 0.0692 x18  7 Er 3.10-3.44, 1 Pm 3.37

Results
- E (eV/atom) = -4.55

---

No. 6
DFT (PBE) results for an optimized crystal structure of Tb5Pm3Ho.

a = 20.1096 Å, b = 6.1755 Å, c = 11.6078 Å
α = 90.00°, β = 122.38°, γ = 90.00°
Closest atoms and distances in Å follow each position.
Space group C2/c (No. 15)
Inequivalent atoms, fractional coordinates:
Tb: 0.0000 0.0691 0.2500 x4  2 Ho 3.03-3.15
Tb: 0.1381 0.1786 0.6459 x8  2 Pm 3.08-3.41
Tb: 0.1785 0.3043 0.3343 x8  5 Tb 3.41-3.71, 4 Pm 3.44-3.81, 1 Ho 3.60
Pm: 0.0000 0.5000 0.0000 x4  2 Ho 2.94, 2 Tb 3.08
Pm: 0.1803 0.2805 0.0332 x8  2 Pm 3.30-3.69, 4 Tb 3.41-3.56, 1 Ho 3.46
Ho: 0.0000 0.4209 0.7500 x4  2 Pm 2.94, 2 Tb 3.03-3.15

Results
- E (eV/atom) = -4.37
- energy above the lowest structure with this stoichiometry (meV/atom) = 0.0

---

No. 7
DFT (PBE) results for an optimized crystal structure of Rb3Np2Te6Au.

a = 7.8164 Å, b = 13.4987 Å, c = 8.8738 Å
α = 90.00°, β = 106.96°, γ = 90.00°
Closest atoms and distances in Å follow each position.
Space group C2/m (No. 12)
Inequivalent atoms, fractional coordinates:
Rb: 0.0000 0.0000 0.0000 x2  6 Te 3.67
Rb: 0.0000 0.3359 0.0000 x4  6 Te 3.66-3.69
Np: 0.0000 0.1672 0.5000 x4  6 Te 3.08
Te: 0.2296 0.0000 0.6935 x4  2 Np 3.08, 1 Au 3.09
Te: 0.2321 0.3330 0.6946 x8  2 Np 3.08, 1 Au 3.09
Au: 0.0000 0.5000 0.5000 x2  6 Te 3.09

Results
- E (eV/atom) = -4.92
- ΔE_f (raw) (eV/atom) = -0.682

---

No. 8
DFT (PBE) results for an optimized crystal structure of AsPSeS2.

a = 4.5866 Å, b = 4.5866 Å, c = 5.0769 Å
α = 90.00°, β = 90.00°, γ = 90.00°
Closest atoms and distances in Å follow each position.
Space group P4/mmm (No. 123)
Inequivalent atoms, fractional coordinates:
As: 0.0000 0.0000 0.0000 x1  4 S 2.29, 2 P 2.54
P: 0.0000 0.0000 0.5000 x1  2 As 2.54
Se: 0.5000 0.5000 0.5000 x1  4 P 3.24, 8 S 3.42
S: 0.0000 0.5000 0.0000 x2  2 As 2.29

Results
- E (eV/atom) = -3.44
- energy above the lowest structure with this stoichiometry (meV/atom) = 0.0
- ΔE_f (raw) (eV/atom) = 0.916

---

No. 9
DFT (PBE) results for an optimized crystal structure of SrLa2Cl.

a = 8.3443 Å, b = 8.3443 Å, c = 8.3443 Å
α = 90.00°, β = 90.00°, γ = 90.00°
Closest atoms and distances in Å follow each position.
Space group Fm-3m (No. 225)
Inequivalent atoms, fractional coordinates:
Sr: 0.0000 0.0000 0.0000 x4  8 La 3.61
La: 0.2500 0.2500 0.2500 x8  4 Cl 3.61, 4 Sr 3.61
Cl: 0.0000 0.0000 0.5000 x4  8 La 3.61

Results
- E (eV/atom) = -3.33
- energy above the lowest structure with this stoichiometry (meV/atom) = 694.1
- ΔE_f (raw) (eV/atom) = 0.016

---

No. 10
DFT (PBE) results for an optimized crystal structure of TlSb2As2.

a = 5.3290 Å, b = 5.3290 Å, c = 10.2529 Å
α = 90.00°, β = 90.00°, γ = 90.00°
Closest atoms and distances in Å follow each position.
Space group I4/mmm (No. 139)
Inequivalent atoms, fractional coordinates:
Tl: 0.0000 0.0000 0.0000 x2  2 As 3.62, 8 Sb 3.70
Sb: 0.0000 0.5000 0.2500 x4  4 As 2.86
As: 0.0000 0.0000 0.3526 x4  4 Sb 2.86, 1 As 3.02

Results
- E (eV/atom) = -3.84
- energy above the lowest structure with this stoichiometry (meV/atom) = 34.6
- ΔE_f (raw) (eV/atom) = 0.143

---

No. 11
DFT (PBE) results for an optimized crystal structure of MgPdNO2.

a = 3.8028 Å, b = 3.8028 Å, c = 4.0348 Å
α = 90.00°, β = 90.00°, γ = 90.00°
Closest atoms and distances in Å follow each position.
Space group P4/mmm (No. 123)
Inequivalent atoms, fractional coordinates:
Mg: 0.0000 0.0000 0.0000 x1  4 O 1.90, 2 N 2.02
Pd: 0.5000 0.5000 0.5000 x1  4 N 2.69, 8 O 2.77
N: 0.0000 0.0000 0.5000 x1  2 Mg 2.02
O: 0.0000 0.5000 0.0000 x2  2 Mg 1.90

Results
- E (eV/atom) = -4.48
- ΔE_f (raw) (eV/atom) = 0.522

---

No. 12
DFT (PBE) results for an optimized crystal structure of CsGaPdAu2.

a = 5.4215 Å, b = 5.4215 Å, c = 4.7920 Å
α = 90.00°, β = 90.00°, γ = 90.00°
Closest atoms and distances in Å follow each position.
Space group P4/mmm (No. 123)
Inequivalent atoms, fractional coordinates:
Cs: 0.0000 0.0000 0.0000 x1  8 Au 3.62, 4 Ga 3.83
Ga: 0.5000 0.5000 0.0000 x1  2 Pd 2.40
Pd: 0.5000 0.5000 0.5000 x1  2 Ga 2.40
Au: 0.0000 0.5000 0.5000 x2  2 Pd 2.71

Results
- E (eV/atom) = -3.25